# 1
BeCdHg GGA-PBEsol optimized geometry; space group = F-43m (216); formation enthalpy at 0 K = 0.563 eV/atom; polymorph energy (0 for the lowest one) = 0.729 eV per formula unit; VASP energy = -1.359 eV per atom
1.0
4.411 0.000 0.000
2.205 3.820 0.000
2.205 1.273 3.601
Be Hg Cd
1 1 1
Direct
0.500 0.500 0.500 Be
0.000 0.000 0.000 Hg
0.250 0.250 0.250 Cd

=====

# 2
Be2CdHg GGA-PBEsol optimized geometry; space group = C2/m (12); formation enthalpy at 0 K = 0.303 eV/atom; polymorph energy (0 for the lowest one) = 0.000 eV per formula unit; VASP energy = -2.138 eV per atom
1.0
4.138 0.018 0.092
2.009 3.618 0.092
0.616 0.365 4.553
Hg Be Cd
1 2 1
Direct
0.000 0.000 0.500 Hg
0.330 0.330 0.534 Be
0.670 0.670 0.466 Be
0.500 0.500 0.000 Cd

=====

# 3
Be2CdHg GGA-PBEsol optimized geometry; space group = I-4m2 (119); formation enthalpy at 0 K = 0.476 eV/atom; polymorph energy (0 for the lowest one) = 0.693 eV per formula unit; VASP energy = -1.964 eV per atom
1.0
3.832 0.000 0.000
0.000 3.832 0.000
-1.916 -1.916 4.051
Cd Be Hg
1 2 1
Direct
0.500 0.500 0.000 Cd
0.750 0.250 0.500 Be
0.000 0.000 0.000 Be
0.250 0.750 0.500 Hg

=====

# 4
BeCdHg GGA-PBEsol optimized geometry; space group = Fmm2 (42); formation enthalpy at 0 K = 0.347 eV/atom; polymorph energy (0 for the lowest one) = 0.081 eV per formula unit; VASP energy = -1.575 eV per atom
1.0
3.197 -0.416 0.000
-1.644 2.774 0.000
-0.777 -1.179 6.657
Hg Be Cd
1 1 1
Direct
0.652 0.652 0.304 Hg
0.002 0.002 0.004 Be
0.346 0.346 0.692 Cd

=====

# 5
BeCdHg GGA-PBEsol optimized geometry; space group = P-6m2 (187); formation enthalpy at 0 K = 0.320 eV/atom; polymorph energy (0 for the lowest one) = 0.000 eV per formula unit; VASP energy = -1.602 eV per atom
1.0
-0.308 1.790 -2.735
2.365 -2.879 -2.151
-4.275 -0.442 0.193
Be Cd Hg
1 1 1
Direct
0.500 0.000 0.000 Be
0.000 0.667 0.333 Cd
0.500 0.333 0.667 Hg

=====

# 6
BeCd2I GGA-PBEsol optimized geometry; space group = Fm-3m (225); ΔE_f (raw) = 766 meV/atom; polymorph energy (0 for the lowest one) = 1.646 eV per formula unit; VASP energy = -1.274 eV per atom
1.0
5.175 0.000 0.000
2.588 4.482 0.000
2.588 1.494 4.226
Cd I Be
2 1 1
Direct
0.250 0.250 0.250 Cd
0.750 0.750 0.750 Cd
0.500 0.500 0.500 I
0.000 0.000 0.000 Be

=====

# 7
BeCd2I GGA-PBEsol optimized geometry; space group = I-42d (122); ΔE_f (raw) = 355 meV/atom; polymorph energy (0 for the lowest one) = 0.000 eV per formula unit; VASP energy = -1.685 eV per atom
1.0
6.089 0.932 1.324
-2.209 5.750 -1.324
-2.209 -3.185 4.967
Cd Be I
4 2 2
Direct
0.567 0.375 0.442 Cd
0.067 0.192 0.625 Cd
0.433 0.875 0.808 Cd
0.933 0.558 0.125 Cd
0.000 0.500 0.500 Be
0.500 0.250 0.750 Be
0.000 0.000 0.000 I
0.500 0.750 0.250 I

=====

# 8
BeCdSbI2 GGA-PBEsol optimized geometry; space group = P4/mmm (123); ΔE_f (raw) = 890 meV/atom; VASP energy = -1.768 eV per atom
1.0
-4.819 -2.840 -0.346
2.014 -3.864 3.657
-2.091 3.020 4.343
Sb Cd I Be
1 1 2 1
Direct
0.500 0.000 0.000 Sb
0.000 0.000 0.000 Cd
0.000 0.000 0.500 I
0.000 0.500 0.000 I
0.500 0.500 0.500 Be

=====

# 9
Be2CdIn GGA-PBEsol optimized geometry; space group = Cmmm (65); formation enthalpy at 0 K = 0.536 eV/atom; polymorph energy (0 for the lowest one) = 0.000 eV per formula unit; VASP energy = -2.509 eV per atom
1.0
3.014 0.000 0.000
0.000 4.675 -0.126
0.000 -1.327 4.485
Cd Be In
1 2 1
Direct
0.500 0.000 0.000 Cd
0.000 0.000 0.500 Be
0.000 0.500 0.000 Be
0.500 0.500 0.500 In

=====

# 10
Be2CdIn GGA-PBEsol optimized geometry; space group = Pmmm (47); formation enthalpy at 0 K = 0.588 eV/atom; polymorph energy (0 for the lowest one) = 0.209 eV per formula unit; VASP energy = -2.457 eV per atom
1.0
2.777 0.000 0.000
0.000 4.225 0.000
0.000 0.000 5.753
Cd In Be
1 1 2
Direct
0.500 0.500 0.000 Cd
0.000 0.500 0.500 In
0.500 0.000 0.500 Be
0.000 0.000 0.000 Be

=====

# 11
BeCd2In GGA-PBEsol optimized geometry; space group = I-4m2 (119); formation enthalpy at 0 K = 0.351 eV/atom; VASP energy = -1.993 eV per atom
1.0
4.267 0.000 0.000
0.000 4.267 0.000
-2.134 -2.134 4.143
Be Cd In
1 2 1
Direct
0.250 0.750 0.500 Be
0.750 0.250 0.500 Cd
0.000 0.000 0.000 Cd
0.500 0.500 0.000 In

=====

# 12
BeCdIn2 GGA-PBEsol optimized geometry; space group = P4/mmm (123); formation enthalpy at 0 K = 0.384 eV/atom; VASP energy = -2.407 eV per atom
1.0
-4.105 -0.828 0.480
0.929 -4.194 0.714
0.337 0.801 4.267
In Cd Be
2 1 1
Direct
0.000 0.500 0.000 In
0.000 0.000 0.500 In
0.500 0.000 0.000 Cd
0.500 0.500 0.500 Be

=====

# 13
Na2BeCdIn GGA-PBEsol optimized geometry; space group = P4/mmm (123); formation enthalpy at 0 K = 0.830 eV/atom; VASP energy = -1.366 eV per atom
1.0
5.210 0.000 0.000
0.000 5.782 0.000
0.000 0.000 5.782
Na In Cd Be
2 1 1 1
Direct
0.000 0.000 0.500 Na
0.000 0.500 0.000 Na
0.000 0.000 0.000 In
0.500 0.000 0.000 Cd
0.500 0.500 0.500 Be

=====

# 14
BeCdIr GGA-PBEsol optimized geometry; space group = P3m1 (156); formation enthalpy at 0 K = 0.060 eV/atom; polymorph energy (0 for the lowest one) = 0.147 eV per formula unit; VASP energy = -4.946 eV per atom
1.0
-1.646 1.649 -1.570
2.068 -1.473 -1.202
-3.942 -4.795 -0.905
Ir Be Cd
1 1 1
Direct
0.667 0.333 0.288 Ir
0.000 0.000 0.036 Be
0.333 0.667 0.676 Cd

=====

# 15
BeCdIr GGA-PBEsol optimized geometry; space group = P-6m2 (187); formation enthalpy at 0 K = 0.011 eV/atom; polymorph energy (0 for the lowest one) = 0.000 eV per formula unit; VASP energy = -4.995 eV per atom
1.0
-1.844 -2.291 -0.983
1.453 -2.389 2.842
-3.201 2.259 0.739
Ir Be Cd
1 1 1
Direct
0.500 0.333 0.667 Ir
0.500 0.000 0.000 Be
0.000 0.667 0.333 Cd

=====

# 16
Be4CdIr GGA-PBEsol optimized geometry; space group = F-43m (216); formation enthalpy at 0 K = -0.185 eV/atom; VASP energy = -4.688 eV per atom
1.0
-0.478 2.956 3.300
-2.610 -0.953 3.484
1.815 -0.802 3.990
Be Ir Cd
4 1 1
Direct
0.879 0.374 0.374 Be
0.374 0.374 0.879 Be
0.374 0.374 0.374 Be
0.374 0.879 0.374 Be
0.000 0.000 0.000 Ir
0.750 0.750 0.750 Cd

=====

# 17
KBeCd2 GGA-PBEsol optimized geometry; space group = Cm (8); formation enthalpy at 0 K = 0.218 eV/atom; VASP energy = -1.664 eV per atom
1.0
-1.534 4.079 1.293
-2.882 -3.412 -0.647
3.067 -0.711 5.880
Cd Be K
2 1 1
Direct
0.016 0.032 0.050 Cd
0.311 0.623 0.934 Cd
0.674 0.349 0.024 Be
0.498 0.997 0.492 K

=====

# 18
KBe3Cd GGA-PBEsol optimized geometry; space group = Pm-3m (221); formation enthalpy at 0 K = 0.900 eV/atom; VASP energy = -1.966 eV per atom
1.0
-3.503 1.462 -2.627
2.136 -1.628 -3.754
-2.116 -4.064 0.559
Be K Cd
3 1 1
Direct
0.000 0.500 0.000 Be
0.000 0.000 0.500 Be
0.500 0.000 0.000 Be
0.500 0.500 0.500 K
0.000 0.000 0.000 Cd

=====

# 19
KBeCd2 GGA-PBEsol optimized geometry; space group = P4/mmm (123); formation enthalpy at 0 K = 0.622 eV/atom; VASP energy = -1.260 eV per atom
1.0
-4.425 0.984 -0.481
-0.451 -3.460 -2.933
-0.999 -2.801 3.458
K Cd Be
1 2 1
Direct
0.500 0.500 0.500 K
0.000 0.500 0.000 Cd
0.500 0.000 0.000 Cd
0.000 0.000 0.500 Be

=====

# 20
K2BeCd GGA-PBEsol optimized geometry; space group = I-4m2 (119); formation enthalpy at 0 K = 0.599 eV/atom; VASP energy = -1.267 eV per atom
1.0
-2.811 -4.554 -0.871
3.453 1.818 -3.776
4.621 -2.670 -0.952
K Be Cd
2 1 1
Direct
0.000 0.000 0.000 K
0.250 0.500 0.250 K
0.500 0.000 0.500 Be
0.750 0.500 0.750 Cd

=====

# 21
KBeCdMo2 GGA-PBEsol optimized geometry; space group = P4/mmm (123); formation enthalpy at 0 K = 2.136 eV/atom; VASP energy = -3.837 eV per atom
1.0
4.542 0.000 0.000
0.000 5.293 0.000
0.000 0.000 5.293
Mo K Cd Be
2 1 1 1
Direct
0.000 0.000 0.500 Mo
0.000 0.500 0.000 Mo
0.500 0.500 0.500 K
0.000 0.000 0.000 Cd
0.500 0.000 0.000 Be

=====

# 22
LaBeCd2 GGA-PBEsol optimized geometry; space group = Imm2 (44); formation enthalpy at 0 K = -0.029 eV/atom; VASP energy = -2.964 eV per atom
1.0
4.934 0.000 0.000
2.467 4.277 0.010
2.467 1.414 4.036
Cd La Be
2 1 1
Direct
0.750 0.750 0.750 Cd
0.000 0.000 0.000 Cd
0.500 0.500 0.500 La
0.251 0.249 0.249 Be

=====

# 23
LaBeCd GGA-PBEsol optimized geometry; space group = P-6m2 (187); formation enthalpy at 0 K = 0.000 eV/atom; polymorph energy (0 for the lowest one) = 0.000 eV per formula unit; VASP energy = -3.514 eV per atom
1.0
3.557 0.000 0.000
0.000 4.645 0.000
0.000 -2.323 4.023
Be Cd La
1 1 1
Direct
0.000 0.000 0.000 Be
0.000 0.333 0.667 Cd
0.500 0.667 0.333 La

=====

# 24
LaBeCd GGA-PBEsol optimized geometry; space group = F-43m (216); formation enthalpy at 0 K = 0.692 eV/atom; polymorph energy (0 for the lowest one) = 2.075 eV per formula unit; VASP energy = -2.823 eV per atom
1.0
4.914 0.000 0.000
2.457 4.256 0.000
2.457 1.419 4.013
Be La Cd
1 1 1
Direct
0.000 0.000 0.000 Be
0.250 0.250 0.250 La
0.500 0.500 0.500 Cd

=====

# 25
LaBeCd2 GGA-PBEsol optimized geometry; space group = P4/mmm (123); formation enthalpy at 0 K = 0.043 eV/atom; VASP energy = -2.892 eV per atom
1.0
-2.629 -0.607 1.610
-1.090 -1.688 -2.416
3.422 -6.628 3.088
Cd Be La
2 1 1
Direct
0.000 0.000 0.314 Cd
0.000 0.000 0.686 Cd
0.500 0.500 0.500 Be
0.500 0.500 0.000 La

=====

# 26
Li2BeCd GGA-PBEsol optimized geometry; space group = Pmm2 (25); formation enthalpy at 0 K = 0.095 eV/atom; polymorph energy (0 for the lowest one) = 0.000 eV per formula unit; VASP energy = -2.188 eV per atom
1.0
-0.688 2.125 1.556
-1.386 -2.422 2.695
5.092 -0.161 2.473
Cd Li Be
1 2 1
Direct
0.500 0.500 0.729 Cd
0.000 0.000 0.999 Li
0.500 0.500 0.264 Li
0.000 0.000 0.508 Be

=====

# 27
LiBeCd GGA-PBEsol optimized geometry; space group = P3m1 (156); formation enthalpy at 0 K = 0.278 eV/atom; VASP energy = -2.110 eV per atom
1.0
-2.167 -1.770 0.139
1.828 0.145 2.117
-3.720 4.782 2.886
Li Cd Be
1 1 1
Direct
0.667 0.333 0.314 Li
0.333 0.667 0.680 Cd
0.000 0.000 0.006 Be

=====

# 28
Li2BeCd GGA-PBEsol optimized geometry; space group = Fm-3m (225); formation enthalpy at 0 K = 0.103 eV/atom; polymorph energy (0 for the lowest one) = 0.032 eV per formula unit; VASP energy = -2.180 eV per atom
1.0
4.303 0.000 0.000
2.151 3.726 0.000
2.151 1.242 3.513
Cd Li Be
1 2 1
Direct
0.500 0.500 0.500 Cd
0.250 0.250 0.250 Li
0.750 0.750 0.750 Li
0.000 0.000 0.000 Be

=====

# 29
LiBeCd2 GGA-PBEsol optimized geometry; space group = P4/mmm (123); formation enthalpy at 0 K = 0.047 eV/atom; VASP energy = -2.044 eV per atom
1.0
3.084 0.000 0.000
0.000 3.084 0.000
0.000 0.000 6.490
Be Cd Li
1 2 1
Direct
0.500 0.500 0.000 Be
0.000 0.000 0.235 Cd
0.000 0.000 0.765 Cd
0.500 0.500 0.500 Li

=====

# 30
MgBeCd2 GGA-PBEsol optimized geometry; space group = P4/mmm (123); formation enthalpy at 0 K = 0.222 eV/atom; VASP energy = -1.805 eV per atom
1.0
-3.382 2.120 0.427
-1.997 -3.447 1.293
1.049 0.877 3.959
Cd Be Mg
2 1 1
Direct
0.000 0.500 0.000 Cd
0.000 0.000 0.500 Cd
0.500 0.000 0.000 Be
0.500 0.500 0.500 Mg

=====

# 31
Mg3BeCd GGA-PBEsol optimized geometry; space group = Pm-3m (221); formation enthalpy at 0 K = 0.794 eV/atom; VASP energy = -1.276 eV per atom
1.0
5.148 0.000 0.000
0.000 5.148 0.000
0.000 0.000 5.148
Mg Cd Be
3 1 1
Direct
0.500 0.000 0.000 Mg
0.000 0.500 0.000 Mg
0.000 0.000 0.500 Mg
0.000 0.000 0.000 Cd
0.500 0.500 0.500 Be